# K2TaW | Alexandria via LeMat-Bulk | PBE-GGA | relaxed
# **E**: -4.48 eV/atom
# **Excess energy over the best structure of this formula in the dataset**: 1396 meV/atom
# **Energy relative to the elements**: 2267 meV/atom
# **Fermi-level density of states**: 0.83 states/eV per atom
data_K2TaW
_chemical_formula_sum 'K2 Ta1 W1'
_space_group_name_H-M_alt 'P 4/m m m'
_space_group_IT_number 123
_space_group_name_Hall '-P 4 2'
_cell_length_a 6.6627
_cell_length_b 6.6627
_cell_length_c 2.6802
_cell_angle_alpha 90.00
_cell_angle_beta 90.00
_cell_angle_gamma 90.00
loop_
_atom_site_label
_atom_site_fract_x
_atom_site_fract_y
_atom_site_fract_z
K1 0.0000 0.5000 0.0000
Ta1 0.0000 0.0000 0.5000
W1 0.5000 0.5000 0.5000